# 1
Below is crystalline SrThAgPt at its relaxed geometry, with properties calculated at the GGA-PBE level.

Computed properties:
- E_form: -469.9 meV per atom
- Spin magnetization: 0.0 Bohr magnetons per cell
- Space group: F-43m
- D(E_F): 0.5878 states/eV/atom

a = 5.242 Å, b = 5.242 Å, c = 5.242 Å
α = 60.00°, β = 60.00°, γ = 60.00°
Positions (direct):
Ag 0.250 0.250 0.250
Pt 0.750 0.750 0.750
Th 0.500 0.500 0.500
Sr 0.000 0.000 0.000



# 2
Below is crystalline La2Co3CuNi12 at its relaxed geometry, with properties calculated at the GGA-PBE level.

Computed properties:
- E_form: 136.5 meV per atom
- Spin magnetization: 8.4 Bohr magnetons per cell
- Space group: R-3m
- D(E_F): 1.5142 states/eV/atom

a = 6.265 Å, b = 6.265 Å, c = 6.265 Å
α = 83.70°, β = 83.70°, γ = 83.70°
Positions (direct):
La 0.736 0.736 0.736
La 0.264 0.264 0.264
Co 0.500 0.000 0.000
Co 0.000 0.500 0.000
Co 0.000 0.000 0.500
Cu 0.000 0.000 0.000
Ni 0.424 0.424 0.846
Ni 0.801 0.801 0.270
Ni 0.270 0.801 0.801
Ni 0.846 0.424 0.424
Ni 0.801 0.270 0.801
Ni 0.424 0.846 0.424
Ni 0.576 0.576 0.154
Ni 0.199 0.199 0.730
Ni 0.730 0.199 0.199
Ni 0.154 0.576 0.576
Ni 0.199 0.730 0.199
Ni 0.576 0.154 0.576



# 3
Below is crystalline MnTePb2 at its relaxed geometry, with properties calculated at the GGA-PBE level.

Computed properties:
- Spin magnetization: 3.6 Bohr magnetons per cell
- Energy relative to the elements, uncorrected: 1.112 eV per formula unit
- Space group: P4/mmm
- D(E_F): 0.6006 states/eV/atom

a = 3.324 Å, b = 3.324 Å, c = 9.824 Å
α = 90.00°, β = 90.00°, γ = 90.00°
Positions (direct):
Mn 0.500 0.500 0.750
Pb 0.000 0.000 0.944
Pb 0.000 0.000 0.556
Te 0.500 0.500 0.250